This record from Alexandria describes crystalline Al2GaB at its relaxed geometry. The functional is PBE.

Properties
The formation energy from the elements is 0.462 eV/atom. Its magnetic moment is 0.0 μB per formula unit. Its space-group type is I-42d, No. 122. The distance to the lowest polymorph of the same formula is 0.000 eV per atom. The calculation puts the electronic total energy at -3.84 eV/atom.

Cell and atoms, written as extended XYZ:
```
8
Lattice="-2.983 2.983 4.241 2.983 -2.983 4.241 2.983 2.983 -4.241" Properties=species:S:1:pos:R:3 pbc="T T T"
Al 4.474 0.928 -1.060
Al 0.928 1.491 1.060
Al -1.491 2.055 3.181
Al 2.055 1.491 5.302
Ga 2.983 0.000 2.121
Ga 0.000 0.000 4.241
B 0.000 0.000 0.000
B 0.000 2.983 2.121
```

This record from Alexandria describes crystalline GaPOs2 at its relaxed geometry. The functional is PBE.

Properties
The formation energy from the elements is 0.091 eV/atom. Its magnetic moment is 0.0 μB per formula unit. Its space-group type is Fm-3m, No. 225. The distance to the lowest polymorph of the same formula is 0.000 eV per atom. The calculation puts the electronic total energy at -7.63 eV/atom.

Cell and atoms, written as extended XYZ:
```
4
Lattice="0.000 2.996 2.996 2.996 0.000 2.996 2.996 2.996 0.000" Properties=species:S:1:pos:R:3 pbc="T T T"
Ga 0.000 0.000 0.000
P 2.996 2.996 2.996
Os 1.498 1.498 1.498
Os 4.494 4.494 4.494
```

This record from Alexandria describes crystalline Sc2AlZn2Cu5 at its relaxed geometry. The functional is PBE.

Properties
The formation energy from the elements is -0.167 eV/atom. Its magnetic moment is 0.0 μB per formula unit. Its space-group type is P4/mbm, No. 127. The calculation puts the electronic total energy at -4.11 eV/atom.

Cell and atoms, written as extended XYZ:
```
20
Lattice="9.367 0.000 0.000 0.000 9.367 0.000 0.000 0.000 3.463" Properties=species:S:1:pos:R:3 pbc="T T T"
Sc 1.652 3.031 0.000
Sc 3.031 7.715 0.000
Sc 6.336 1.652 0.000
Sc 7.715 6.336 0.000
Al 0.000 0.000 0.000
Al 4.683 4.683 0.000
Zn 1.161 5.845 0.000
Zn 3.522 1.161 0.000
Zn 5.845 8.206 0.000
Zn 8.206 3.522 0.000
Cu 0.000 4.683 1.732
Cu 0.495 7.531 1.732
Cu 1.836 0.495 1.732
Cu 2.847 5.178 1.732
Cu 4.189 2.847 1.732
Cu 4.683 0.000 1.732
Cu 5.178 6.519 1.732
Cu 6.519 4.189 1.732
Cu 7.531 8.872 1.732
Cu 8.872 1.836 1.732
```

This record from Alexandria describes crystalline SrTl3Cu2F9 at its relaxed geometry. The functional is PBE.

Properties
Its magnetic moment is 2.0 μB per formula unit. Its space-group type is P-3m1, No. 164. As for the formation energy without anion corrections: -2.088 eV per atom. The calculation puts the electronic total energy at -4.34 eV/atom.

Cell and atoms, written as extended XYZ:
```
15
Lattice="6.077 0.000 0.000 -3.039 5.263 0.000 0.000 0.000 7.746" Properties=species:S:1:pos:R:3 pbc="T T T"
Sr 0.000 0.000 0.000
Tl 0.000 0.000 3.873
Tl 0.000 3.509 1.606
Tl 3.039 1.754 6.140
Cu 0.000 3.509 5.067
Cu 3.039 1.754 2.679
F -1.519 2.632 3.873
F 0.000 1.850 6.218
F -1.436 4.338 6.218
F 1.602 0.925 1.527
F 3.039 0.000 3.873
F 1.519 2.632 3.873
F 1.436 4.338 6.218
F 4.475 0.925 1.527
F 3.039 3.413 1.527
```

What did the fourth record say?
This record from Alexandria describes crystalline SrTl3Cu2F9 at its relaxed geometry. The functional is PBE.

Properties
Its magnetic moment is 2.0 μB per formula unit. Its space-group type is P-3m1, No. 164. As for the formation energy without anion corrections: -2.088 eV per atom. The calculation puts the electronic total energy at -4.34 eV/atom.

Cell and atoms, written as extended XYZ:
```
15
Lattice="6.077 0.000 0.000 -3.039 5.263 0.000 0.000 0.000 7.746" Properties=species:S:1:pos:R:3 pbc="T T T"
Sr 0.000 0.000 0.000
Tl 0.000 0.000 3.873
Tl 0.000 3.509 1.606
Tl 3.039 1.754 6.140
Cu 0.000 3.509 5.067
Cu 3.039 1.754 2.679
F -1.519 2.632 3.873
F 0.000 1.850 6.218
F -1.436 4.338 6.218
F 1.602 0.925 1.527
F 3.039 0.000 3.873
F 1.519 2.632 3.873
F 1.436 4.338 6.218
F 4.475 0.925 1.527
F 3.039 3.413 1.527
```

- What is the formula in the third record?
  Sc2AlZn2Cu5

- Which value of electronic total energy does entry 2 give?
  -7.63 eV/atom

- Among the records above, which one has the highest electronic total energy?
  Al2GaB